The following is a DFT calculation (meta-GGA SCAN) of Si2RuPt at its PBEsol-relaxed geometry.

- energy (eV per atom) = -31.691
- space group = No. 123

a b c (Å): 3.973 3.973 3.335
angles (deg): 90.00 90.00 90.00
Element x y z (fractional)
Si 0.000 0.500 0.000
Si 0.500 0.000 0.000
Ru 0.000 0.000 0.500
Pt 0.500 0.500 0.500

---

The following is a DFT calculation (meta-GGA SCAN) of GdHg at its PBEsol-relaxed geometry.

- ΔH_f (0 K) (meV/atom) = -664
- space group = No. 221

a b c (Å): 3.681 3.681 3.681
angles (deg): 90.00 90.00 90.00
Element x y z (fractional)
Gd 0.000 0.000 0.000
Hg 0.500 0.500 0.500

---

The following is a DFT calculation (meta-GGA SCAN) of NbFe2Co2 at its PBEsol-relaxed geometry.

- ΔH_f (0 K) (meV/atom) = 347
- space group = No. 139

a b c (Å): 3.511 3.511 9.750
angles (deg): 90.00 90.00 90.00
Element x y z (fractional)
Nb 0.000 0.000 0.000
Nb 0.500 0.500 0.500
Fe 0.000 0.000 0.397
Fe 0.000 0.000 0.603
Fe 0.500 0.500 0.103
Fe 0.500 0.500 0.897
Co 0.000 0.500 0.250
Co 0.000 0.500 0.750
Co 0.500 0.000 0.250
Co 0.500 0.000 0.750